Entry 1:
{
  "formula": "Gd3TaAs",
  "functional": "GGA-PBE",
  "state": "optimized geometry",
  "lattice_angstrom": [[-3.596, 1.863, 0.941], [0.849, -6.024, 15.172], [2.866, -2.497, 15.898]],
  "species": ["As", "As", "Gd", "Gd", "Gd", "Gd", "Gd", "Gd", "Ta", "Ta"],
  "fractional_positions": [[0.000, 0.124, 0.124], [0.000, 0.872, 0.872], [0.500, 0.053, 0.053], [0.500, 0.290, 0.290], [0.000, 0.444, 0.444], [0.000, 0.552, 0.552], [0.500, 0.707, 0.707], [0.500, 0.944, 0.944], [0.500, 0.374, 0.374], [0.500, 0.622, 0.622]]
}



Entry 2:
{
  "formula": "Tb2GdAs3",
  "functional": "GGA-PBE",
  "state": "optimized geometry",
  "lattice_angstrom": [[-1.000, -0.144, -4.017], [2.212, -3.065, 1.694], [-8.577, -4.910, 2.312]],
  "species": ["As", "As", "As", "Gd", "Tb", "Tb"],
  "fractional_positions": [[0.000, 0.000, 0.000], [0.333, 0.667, 0.333], [0.667, 0.333, 0.667], [0.000, 0.000, 0.500], [0.667, 0.333, 0.166], [0.333, 0.667, 0.834]]
}



Entry 3:
{
  "formula": "TbGd2As3",
  "functional": "GGA-PBE",
  "state": "optimized geometry",
  "lattice_angstrom": [[4.149, 0.000, 0.000], [-2.075, 3.593, 0.000], [0.000, 0.000, 10.168]],
  "species": ["As", "As", "As", "Gd", "Gd", "Tb"],
  "fractional_positions": [[0.000, 0.000, 0.000], [0.333, 0.667, 0.334], [0.667, 0.333, 0.666], [0.667, 0.333, 0.167], [0.333, 0.667, 0.833], [0.000, 0.000, 0.500]]
}



Entry 4:
{
  "formula": "Gd3Te2As",
  "functional": "GGA-PBE",
  "state": "optimized geometry",
  "lattice_angstrom": [[4.283, 0.000, 0.000], [-2.141, 3.709, 0.000], [0.000, 0.000, 10.739]],
  "species": ["As", "Gd", "Gd", "Gd", "Te", "Te"],
  "fractional_positions": [[0.000, 0.000, 0.000], [0.667, 0.333, 0.142], [0.000, 0.000, 0.500], [0.333, 0.667, 0.858], [0.333, 0.667, 0.326], [0.667, 0.333, 0.674]]
}



Entry 5:
{
  "formula": "Gd3TeAs2",
  "functional": "GGA-PBE",
  "state": "optimized geometry",
  "lattice_angstrom": [[-3.227, -0.659, -2.628], [3.678, -1.951, -0.650], [-3.207, -8.029, 5.951]],
  "species": ["As", "As", "Gd", "Gd", "Gd", "Te"],
  "fractional_positions": [[0.333, 0.667, 0.340], [0.667, 0.333, 0.660], [0.667, 0.333, 0.194], [0.000, 0.000, 0.500], [0.333, 0.667, 0.806], [0.000, 0.000, 0.000]]
}



Entry 6:
{
  "formula": "GdTlTe3As",
  "functional": "GGA-PBE",
  "state": "optimized geometry",
  "lattice_angstrom": [[-0.493, 6.148, -5.499], [-3.088, -3.851, 6.627], [6.246, 6.461, 6.665]],
  "species": ["As", "As", "Gd", "Gd", "Te", "Te", "Te", "Te", "Te", "Te", "Tl", "Tl"],
  "fractional_positions": [[0.045, 0.955, 0.250], [0.955, 0.045, 0.750], [0.500, 0.500, 0.000], [0.500, 0.500, 0.500], [0.138, 0.862, 0.044], [0.403, 0.597, 0.250], [0.138, 0.862, 0.456], [0.862, 0.138, 0.544], [0.597, 0.403, 0.750], [0.862, 0.138, 0.956], [0.742, 0.258, 0.250], [0.258, 0.742, 0.750]]
}



| no. | total energy (eV/atom) |
| --- | --- |
| 1 | -5.64 |
| 2 | -6.19 |
| 3 | -6.19 |
| 4 | -5.61 |
| 5 | -5.95 |
| 6 | -4.03 |